The following is a PBE+U calculation of a relaxed LaZnFe2O6 crystal, from Alexandria.

The structure belongs to space group Pmn2_1 (No. 31); the cell edges are 7.675, 5.552 and 5.333 Å and the angles 90.00°, 90.00° and 90.00°. The distinct sites, in fractional coordinates, are La at (0.000, 0.235, 0.000), Zn at (0.000, 0.736, 0.459), Fe at (0.249, 0.748, 0.989), O at (0.000, 0.261, 0.571), O at (0.000, 0.758, 0.845), O at (0.190, 0.507, 0.248) and O at (0.191, 0.969, 0.276).

The calculation puts the total DFT energy (no corrections) at -6.51 eV/atom. As for the total magnetization: 9.0 μB/f.u. For the volume, the calculation gives 11.4 Å³/atom.